# MgNi2Sb | the Alexandria database | PBE-GGA | relaxed
data_MgNi2Sb
_chemical_formula_sum 'Mg4 Ni8 Sb4'
_cell_length_a 4.082
_cell_length_b 4.082
_cell_length_c 17.104
_cell_angle_alpha 90.00
_cell_angle_beta 90.00
_cell_angle_gamma 90.00
_space_group_name_H-M_alt 'I -4 2 d'
_space_group_IT_number 122
_space_group_name_Hall 'I -4 2bw'
loop_
_atom_site_label
_atom_site_type_symbol
_atom_site_fract_x
_atom_site_fract_y
_atom_site_fract_z
_atom_site_occupancy
Mg1 Mg 0.000 0.000 0.000 1
Ni1 Ni 0.209 0.250 0.625 1
Sb1 Sb 0.000 0.000 0.500 1
# Fermi-level density of states   16.5 states/eV/cell
# Magnetic moment   0.0 μB/cell
# Uncorrected formation energy   3.9 kcal/mol of atoms